1.
The following is a GGA-PBE calculation of Ca2Y2In after structural relaxation, from Alexandria.

The structure in CIF format:
```
data_Ca2Y2In
_chemical_formula_sum 'Ca4 Y4 In2'
_cell_length_a 8.701
_cell_length_b 8.701
_cell_length_c 4.361
_cell_angle_alpha 90.00
_cell_angle_beta 90.00
_cell_angle_gamma 90.00
_symmetry_space_group_name_H-M 'P 4/m b m'
_symmetry_Int_Tables_number 127
_symmetry_space_group_name_Hall '-P 4 2ab'
loop_
_atom_site_label
_atom_site_type_symbol
_atom_site_fract_x
_atom_site_fract_y
_atom_site_fract_z
Ca1 Ca 0.151 0.349 0.000
Y1 Y 0.150 0.650 0.500
In1 In 0.000 0.000 0.000
```

Calculated values
Relative energy among the computed polymorphs in meV per atom: 105
M_tot in μB/f.u.: 0.0
Energy of formation from the pure elements in meV/atom: 183

2.
The following is a GGA-PBE calculation of TiBiTeO6 after structural relaxation, from Alexandria.

The structure in CIF format:
```
data_TiBiTeO6
_chemical_formula_sum 'Ti2 Bi2 Te2 O12'
_cell_length_a 5.3524
_cell_length_b 5.3524
_cell_length_c 9.9847
_cell_angle_alpha 90.00
_cell_angle_beta 90.00
_cell_angle_gamma 120.00
_symmetry_space_group_name_H-M 'P -3 1 c'
_symmetry_Int_Tables_number 163
_symmetry_space_group_name_Hall '-P 3 2c'
loop_
_atom_site_label
_atom_site_type_symbol
_atom_site_fract_x
_atom_site_fract_y
_atom_site_fract_z
Ti1 Ti 0.3333 0.6667 0.2500
Bi1 Bi 0.0000 0.0000 0.0000
Te1 Te 0.3333 0.6667 0.7500
O1 O 0.0076 0.3711 0.1402
```

Calculated values
M_tot in μB/f.u.: 0.0
ΔE_f (raw) in eV per atom: -1.6890

3.
The following is a GGA-PBE calculation of PmGaHgO4 after structural relaxation, from Alexandria.

The structure in CIF format:
```
data_PmGaHgO4
_chemical_formula_sum 'Pm4 Ga4 Hg4 O16'
_cell_length_a 6.363
_cell_length_b 7.017
_cell_length_c 9.194
_cell_angle_alpha 90.00
_cell_angle_beta 90.00
_cell_angle_gamma 90.00
_symmetry_space_group_name_H-M 'I m m a'
_symmetry_Int_Tables_number 74
_symmetry_space_group_name_Hall '-I 2b 2'
loop_
_atom_site_label
_atom_site_type_symbol
_atom_site_fract_x
_atom_site_fract_y
_atom_site_fract_z
Pm1 Pm 0.000 0.000 0.000
Ga1 Ga 0.000 0.250 0.374
Hg1 Hg 0.250 0.250 0.750
O1 O 0.000 0.029 0.255
O2 O 0.248 0.250 0.493
```

Calculated values
M_tot in μB/f.u.: 0.0
ΔE_f (raw) in eV per atom: -1.8115

Question: What is the formula in the second record?
Answer: TiBiTeO6

Question: Number 1 is which compound?
Answer: Ca2Y2In